No. 1
Density functional theory data (GGA-PBE) for crystalline Au3Cl at its relaxed geometry.

Unit cell a=9.2042 b=3.3082 c=10.8643 alpha=90.00 beta=90.00 gamma=90.00
Closest atoms and distances in Å follow each position.
Fractional positions:
Au 0.1343 0.2514 0.7500  2 Cl 2.66, 4 Au 2.70-2.76
Au 0.6343 0.2486 0.2500  2 Cl 2.66, 4 Au 2.70-2.76
Au 0.3657 0.7514 0.7500  2 Cl 2.66, 4 Au 2.70-2.76
Au 0.8657 0.7486 0.2500  2 Cl 2.66, 4 Au 2.70-2.76
Au 0.6258 0.2499 0.9963  1 Cl 2.69, 5 Au 2.76-2.85
Au 0.1258 0.2501 0.0037  1 Cl 2.69, 5 Au 2.76-2.85
Au 0.8742 0.7499 0.5037  1 Cl 2.69, 5 Au 2.76-2.85
Au 0.3742 0.7501 0.4963  1 Cl 2.69, 5 Au 2.76-2.85
Au 0.3742 0.7501 0.0037  1 Cl 2.69, 5 Au 2.76-2.85
Au 0.8742 0.7499 0.9963  1 Cl 2.69, 5 Au 2.76-2.85
Au 0.1258 0.2501 0.4963  1 Cl 2.69, 5 Au 2.76-2.85
Au 0.6258 0.2499 0.5037  1 Cl 2.69, 5 Au 2.76-2.85
Cl 0.5919 0.2513 0.7500  4 Au 2.66-2.69
Cl 0.0919 0.2487 0.2500  4 Au 2.66-2.69
Cl 0.9081 0.7513 0.7500  4 Au 2.66-2.69
Cl 0.4081 0.7487 0.2500  4 Au 2.66-2.69

Results
raw formation energy	55	kJ/mol of formula units
polymorph energy (0 for the lowest one)	82.1	meV per atom

=====

No. 2
Density functional theory data (GGA-PBE) for crystalline AuCl at its relaxed geometry.

Unit cell a=8.1493 b=8.1493 c=8.1493 alpha=90.00 beta=90.00 gamma=90.00
Closest atoms and distances in Å follow each position.
Fractional positions:
Au 0.3183 0.3183 0.3183  1 Cl 2.35
Au 0.3183 0.6817 0.6817  1 Cl 2.35
Au 0.6817 0.3183 0.6817  1 Cl 2.35
Au 0.6817 0.6817 0.3183  1 Cl 2.35
Au 0.8183 0.8183 0.8183  1 Cl 2.35
Au 0.8183 0.1817 0.1817  1 Cl 2.35
Au 0.1817 0.8183 0.1817  1 Cl 2.35
Au 0.1817 0.1817 0.8183  1 Cl 2.35
Cl 0.1515 0.1515 0.1515  1 Au 2.35
Cl 0.1515 0.8485 0.8485  1 Au 2.35
Cl 0.8485 0.1515 0.8485  1 Au 2.35
Cl 0.8485 0.8485 0.1515  1 Au 2.35
Cl 0.6515 0.6515 0.6515  1 Au 2.35
Cl 0.6515 0.3485 0.3485  1 Au 2.35
Cl 0.3485 0.6515 0.3485  1 Au 2.35
Cl 0.3485 0.3485 0.6515  1 Au 2.35

Results
raw formation energy	21	kJ/mol of formula units

=====

No. 3
Density functional theory data (GGA-PBE) for crystalline AuCl at its relaxed geometry.

Unit cell a=6.2644 b=6.2644 c=7.5495 alpha=81.14 beta=81.14 gamma=32.53
Closest atoms and distances in Å follow each position.
Fractional positions:
Au 0.9887 0.9887 0.9907  2 Cl 2.66, 2 Au 2.66
Au 0.3228 0.3228 0.9872  2 Au 2.66, 2 Cl 2.67
Au 0.3999 0.3999 0.5106  4 Cl 2.44
Cl 0.6538 0.6538 0.0012  4 Au 2.66-2.67
Cl 0.0408 0.0408 0.5121  2 Au 2.44
Cl 0.7607 0.7607 0.4982  2 Au 2.44

Results
raw formation energy	2	kJ/mol of formula units

=====

No. 4
Density functional theory data (GGA-PBE) for crystalline Au2Cl at its relaxed geometry.

Unit cell a=6.7109 b=6.7109 c=5.8936 alpha=90.00 beta=90.00 gamma=151.44
Closest atoms and distances in Å follow each position.
Fractional positions:
Au 0.7265 0.3920 0.7500  1 Cl 2.48, 2 Au 2.72
Au 0.2735 0.6080 0.2500  1 Cl 2.48, 2 Au 2.72
Au 0.3920 0.7265 0.7500  1 Cl 2.48, 2 Au 2.72
Au 0.6080 0.2735 0.2500  1 Cl 2.48, 2 Au 2.72
Cl 0.1985 0.1985 0.7500  2 Au 2.48
Cl 0.8015 0.8015 0.2500  2 Au 2.48

Results
raw formation energy	33	kJ/mol of formula units
polymorph energy (0 for the lowest one)	127.7	meV per atom

=====

No. 5
Density functional theory data (GGA-PBE) for crystalline Au3Cl at its relaxed geometry.

Unit cell a=5.0940 b=5.0940 c=5.0940 alpha=130.04 beta=130.04 gamma=73.34
Closest atoms and distances in Å follow each position.
Fractional positions:
Au 0.7500 0.2500 0.5000  8 Au 2.97-3.04, 4 Cl 2.97
Au 0.2500 0.7500 0.5000  4 Cl 2.97, 8 Au 2.97-3.04
Au 0.5000 0.5000 0.0000  8 Au 2.97, 4 Cl 3.04
Cl 0.0000 0.0000 0.0000  12 Au 2.97-3.04

Results
raw formation energy	120	kJ/mol of formula units
polymorph energy (0 for the lowest one)	251.2	meV per atom

=====

No. 6
Density functional theory data (GGA-PBE) for crystalline Au8Cl at its relaxed geometry.

Unit cell a=6.7158 b=6.7158 c=6.7158 alpha=95.32 beta=95.32 gamma=144.55
Closest atoms and distances in Å follow each position.
Fractional positions:
Au 0.3278 0.6722 0.0000  10 Au 2.85-3.12, 2 Cl 3.01
Au 0.6722 0.3278 0.0000  10 Au 2.85-3.12, 2 Cl 3.01
Au 0.0000 0.3365 0.3365  11 Au 2.93-2.97, 1 Cl 3.04
Au 0.6722 0.6722 0.3444  10 Au 2.85-3.12, 2 Cl 3.01
Au 0.3365 0.0000 0.3365  11 Au 2.93-2.97, 1 Cl 3.04
Au 0.3278 0.3278 0.6556  10 Au 2.85-3.12, 2 Cl 3.01
Au 0.0000 0.6635 0.6635  11 Au 2.93-2.97, 1 Cl 3.04
Au 0.6635 0.0000 0.6635  11 Au 2.93-2.97, 1 Cl 3.04
Cl 0.0000 0.0000 0.0000  12 Au 3.01-3.04

Results
raw formation energy	99	kJ/mol of formula units

=====

No. 7
Density functional theory data (GGA-PBE) for crystalline Au2Cl at its relaxed geometry.

Unit cell a=12.8069 b=12.8069 c=12.8069 alpha=166.15 beta=166.15 gamma=19.64
Closest atoms and distances in Å follow each position.
Fractional positions:
Au 0.5801 0.5801 0.0000  2 Au 2.74, 4 Cl 2.98
Au 0.1699 0.6699 0.5000  2 Au 2.74, 4 Cl 2.98
Au 0.4199 0.4199 0.0000  2 Au 2.74, 4 Cl 2.98
Au 0.3301 0.8301 0.5000  2 Au 2.74, 4 Cl 2.98
Cl 0.0000 0.0000 0.0000  8 Au 2.98, 4 Cl 3.09
Cl 0.7500 0.2500 0.5000  8 Au 2.98, 4 Cl 3.09

Results
raw formation energy	85	kJ/mol of formula units
polymorph energy (0 for the lowest one)	305.8	meV per atom

=====

No. 8
Density functional theory data (GGA-PBE) for crystalline Au3Cl at its relaxed geometry.

Unit cell a=3.1184 b=3.1184 c=8.9027 alpha=90.00 beta=90.00 gamma=118.55
Closest atoms and distances in Å follow each position.
Fractional positions:
Au 0.0000 0.0000 0.0041  2 Cl 2.71, 2 Au 2.77
Au 0.5000 0.5000 0.7500  4 Au 2.77
Au 0.0000 0.0000 0.4959  2 Cl 2.71, 2 Au 2.77
Cl 0.5000 0.5000 0.2500  4 Au 2.71

Results
raw formation energy	54	kJ/mol of formula units
polymorph energy (0 for the lowest one)	79.4	meV per atom